TlSnI2Cl after structural relaxation. Source: Alexandria via LeMat-Bulk, functional GGA-PBE.

Results
* energy above the lowest structure with this stoichiometry: 0.074 eV per atom
* total magnetization: 0.00 μB/f.u.
* final energy: -2.904 eV/atom

abc: 6.258 6.258 5.454
angles: 90.00 90.00 90.00
Positions (direct):
1 Tl 0.500 0.500 0.500
2 Cl 0.000 0.000 0.500
3 Sn 0.000 0.000 0.000
4 I 0.000 0.500 0.000
5 I 0.500 0.000 0.000